Entry 1:
The following is a GGA-PBE calculation of an optimized crystal structure of CaTlCo2Si, from the Alexandria database.

Total DFT energy (no corrections)   -0.1172 hartree per atom
Energy relative to the lowest polymorph listed for this composition   1252 meV per atom
Mass density   5.39 g/cm³
E_form (uncorrected)   1.611 eV per atom

abc: 4.7566 4.7566 5.3184
angles: 90.00 90.00 90.00
Closest atoms and distances in Å follow each position.
Space group P4/mmm (No. 123)
Inequivalent atoms, fractional coordinates:
Ca  0.0000  0.0000  0.0000 x1  4 Co 2.38, 2 Si 2.66
Tl  0.5000  0.5000  0.5000 x1  4 Si 3.36, 8 Co 3.57
Co  0.0000  0.5000  0.0000 x2  2 Ca 2.38
Si  0.0000  0.0000  0.5000 x1  2 Ca 2.66

Entry 2:
The following is a GGA-PBE calculation of an optimized crystal structure of CaTl2CoSi, from the Alexandria database.

Total DFT energy (no corrections)   -0.0919 hartree per atom
Mass density   5.94 g/cm³
E_form (uncorrected)   1.351 eV per atom

abc: 5.7869 5.7869 4.4695
angles: 90.00 90.00 90.00
Closest atoms and distances in Å follow each position.
Space group P4/mmm (No. 123)
Inequivalent atoms, fractional coordinates:
Ca  0.0000  0.0000  0.0000 x1  2 Co 2.23
Tl  0.0000  0.5000  0.0000 x2  2 Ca 2.89
Co  0.0000  0.0000  0.5000 x1  2 Ca 2.23
Si  0.5000  0.5000  0.5000 x1  8 Tl 3.66, 4 Co 4.09

Entry 3:
The following is a GGA-PBE calculation of an optimized crystal structure of CaTlCo2Si, from the Alexandria database.

Total DFT energy (no corrections)   -0.1632 hartree per atom
Energy relative to the lowest polymorph listed for this composition   0 meV per atom
Mass density   6.48 g/cm³
E_form (uncorrected)   0.359 eV per atom

abc: 4.3906 4.3906 5.1910
angles: 90.00 90.00 90.00
Closest atoms and distances in Å follow each position.
Space group P4/mmm (No. 123)
Inequivalent atoms, fractional coordinates:
Ca  0.0000  0.0000  0.0000 x1  4 Tl 3.10, 8 Co 3.40
Tl  0.5000  0.5000  0.0000 x1  2 Si 2.60
Co  0.0000  0.5000  0.5000 x2  2 Si 2.20
Si  0.5000  0.5000  0.5000 x1  4 Co 2.20

Entry 4:
The following is a GGA-PBE calculation of an optimized crystal structure of Ca2VCoSi, from the Alexandria database.

Total DFT energy (no corrections)   -0.1611 hartree per atom
Mass density   2.48 g/cm³
E_form (uncorrected)   0.747 eV per atom

abc: 5.5721 5.5721 4.7021
angles: 90.00 90.00 90.00
Closest atoms and distances in Å follow each position.
Space group P4/mmm (No. 123)
Inequivalent atoms, fractional coordinates:
Ca  0.0000  0.5000  0.0000 x2  2 Si 2.79
V  0.0000  0.0000  0.5000 x1  2 Si 2.35
Co  0.5000  0.5000  0.5000 x1  8 Ca 3.65, 4 V 3.94
Si  0.0000  0.0000  0.0000 x1  2 V 2.35

Entry 5:
The following is a GGA-PBE calculation of an optimized crystal structure of CaCoSiW2, from the Alexandria database.

Total DFT energy (no corrections)   -0.2613 hartree per atom
Mass density   8.80 g/cm³
E_form (uncorrected)   0.976 eV per atom

abc: 4.6288 4.6288 4.3598
angles: 90.00 90.00 90.00
Closest atoms and distances in Å follow each position.
Space group P4/mmm (No. 123)
Inequivalent atoms, fractional coordinates:
Ca  0.0000  0.0000  0.0000 x1  8 W 3.18, 4 Co 3.27
Co  0.5000  0.5000  0.0000 x1  2 Si 2.18
Si  0.5000  0.5000  0.5000 x1  2 Co 2.18, 4 W 2.31
W  0.0000  0.5000  0.5000 x2  2 Si 2.31

Entry 6:
The following is a GGA-PBE calculation of an optimized crystal structure of Ca2SmCo9, from the Alexandria database.

Total DFT energy (no corrections)   -0.2219 hartree per atom
Formation enthalpy at 0 K   0.017 eV per atom
Mass density   7.10 g/cm³

abc: 5.0429 5.0429 24.2396
angles: 90.00 90.00 120.00
Closest atoms and distances in Å follow each position.
Space group R-3m (No. 166, hexagonal axes)
Inequivalent atoms, fractional coordinates:
Ca  0.0000  0.0000  0.1424 x6  12 Co 2.93-3.04, 3 Ca 3.14
Sm  0.0000  0.0000  0.0000 x3  18 Co 2.91-3.19
Co  0.0000  0.0000  0.3342 x6  6 Co 2.42-2.46
Co  0.0000  0.0000  0.5000 x3  6 Co 2.54
Co  0.0007  0.5004  0.9192 x18  7 Co 2.42-2.54

Entry 7:
The following is a GGA-PBE calculation of an optimized crystal structure of CaSm3Co, from the Alexandria database.

Total DFT energy (no corrections)   -0.1717 hartree per atom
Formation enthalpy at 0 K   -0.020 eV per atom
Energy relative to the lowest polymorph listed for this composition   0 meV per atom
Mass density   5.98 g/cm³

abc: 14.4010 3.7402 11.3594
angles: 90.00 93.34 90.00
Closest atoms and distances in Å follow each position.
Space group C2/m (No. 12)
Inequivalent atoms, fractional coordinates:
Ca  0.1634  0.0000  0.0930 x4  8 Sm 3.67-3.98, 4 Ca 3.74-3.85
Sm  0.0637  0.5000  0.8281 x4  1 Co 2.83
Sm  0.0667  0.0000  0.3846 x4  4 Co 2.86-2.91
Sm  0.2127  0.0000  0.6429 x4  2 Co 2.74
Co  0.0797  0.5000  0.5808 x4  7 Sm 2.74-2.91, 1 Co 2.86

Entry 8:
The following is a GGA-PBE calculation of an optimized crystal structure of CaSm6Co2, from the Alexandria database.

Total DFT energy (no corrections)   -0.1822 hartree per atom
Formation enthalpy at 0 K   -0.010 eV per atom
Mass density   6.86 g/cm³

abc: 9.6453 10.1632 10.4721
angles: 90.00 90.00 90.00
Closest atoms and distances in Å follow each position.
Space group Immm (No. 71)
Inequivalent atoms, fractional coordinates:
Ca  0.0000  0.0000  0.0000 x2  2 Co 3.12, 8 Sm 3.30-3.40
Ca  0.0000  0.5000  0.0000 x2  12 Sm 3.51-3.88
Sm  0.0000  0.2359  0.2166 x8  1 Co 2.55
Sm  0.1780  0.1817  0.5000 x8  1 Co 2.70
Sm  0.2092  0.5000  0.3170 x8  3 Co 3.01-3.05
Co  0.0000  0.0000  0.2982 x4  2 Sm 2.55
Co  0.0000  0.3862  0.5000 x4  1 Co 2.31

Entry 9:
The following is a GGA-PBE calculation of an optimized crystal structure of CaSm3Co, from the Alexandria database.

Total DFT energy (no corrections)   -0.1711 hartree per atom
Formation enthalpy at 0 K   -0.002 eV per atom
Energy relative to the lowest polymorph listed for this composition   18 meV per atom
Mass density   5.69 g/cm³

abc: 5.4354 5.4354 5.4354
angles: 90.00 90.00 90.00
Closest atoms and distances in Å follow each position.
Space group Pm-3m (No. 221)
Inequivalent atoms, fractional coordinates:
Ca  0.0000  0.0000  0.0000 x1  12 Sm 3.84
Sm  0.0000  0.5000  0.5000 x3  2 Co 2.72
Co  0.5000  0.5000  0.5000 x1  6 Sm 2.72

Entry 10:
The following is a GGA-PBE calculation of an optimized crystal structure of CaSm2Co2, from the Alexandria database.

Total DFT energy (no corrections)   -0.1861 hartree per atom
Formation enthalpy at 0 K   0.067 eV per atom
Mass density   6.14 g/cm³

abc: 12.2102 3.8886 5.2852
angles: 90.00 98.62 90.00
Closest atoms and distances in Å follow each position.
Space group C2/m (No. 12)
Inequivalent atoms, fractional coordinates:
Ca  0.0000  0.0000  0.0000 x2  6 Co 3.35-3.44, 8 Sm 3.68-3.73
Sm  0.1427  0.5000  0.5567 x4  4 Co 2.85-2.94
Co  0.2347  0.5000  0.0910 x4  2 Co 2.23

Entry 11:
The following is a GGA-PBE calculation of an optimized crystal structure of CaCo2Sn, from the Alexandria database.

Total DFT energy (no corrections)   -0.1663 hartree per atom
Formation enthalpy at 0 K   0.528 eV per atom
Mass density   5.79 g/cm³

abc: 7.2774 7.2774 5.9881
angles: 90.00 90.00 90.00
Closest atoms and distances in Å follow each position.
Space group I-42d (No. 122)
Inequivalent atoms, fractional coordinates:
Ca  0.0000  0.0000  0.0000 x4  4 Co 2.88, 2 Sn 2.99
Co  0.2101  0.2500  0.6250 x8  2 Sn 2.49
Sn  0.0000  0.0000  0.5000 x4  4 Co 2.49

Entry 12:
The following is a GGA-PBE calculation of an optimized crystal structure of CaCoSn4, from the Alexandria database.

Total DFT energy (no corrections)   -0.1591 hartree per atom
Formation enthalpy at 0 K   -0.144 eV per atom
Mass density   6.47 g/cm³

abc: 6.3654 6.9247 7.3148
angles: 107.03 98.84 101.44
Closest atoms and distances in Å follow each position.
Space group P-1 (No. 2)
Inequivalent atoms, fractional coordinates:
Ca  0.0005  0.4787  0.2432 x2  7 Sn 3.17-3.49, 1 Co 3.55
Co  0.0000  0.0000  0.5000 x1  6 Sn 2.56-2.73
Co  0.5000  0.0000  0.0000 x1  6 Sn 2.50-2.66
Sn  0.1646  0.9375  0.1708 x2  2 Co 2.66-2.73
Sn  0.3139  0.8640  0.6375 x2  2 Co 2.54-2.56
Sn  0.3482  0.3090  0.0117 x2  1 Co 2.50
Sn  0.3577  0.3179  0.5757 x2  1 Co 2.69

Entry 13:
The following is a GGA-PBE calculation of an optimized crystal structure of Ca2CoSn6, from the Alexandria database.

Total DFT energy (no corrections)   -0.1526 hartree per atom
Formation enthalpy at 0 K   -0.249 eV per atom
Mass density   5.90 g/cm³

abc: 17.1954 6.9262 4.0212
angles: 90.00 90.05 90.00
Closest atoms and distances in Å follow each position.
Space group C2/m (No. 12)
Inequivalent atoms, fractional coordinates:
Ca  0.2207  0.0000  0.0012 x4  8 Sn 3.24-3.52, 2 Ca 3.61
Co  0.0000  0.5000  0.5000 x2  8 Sn 2.70-2.72
Sn  0.0000  0.2354  0.0000 x4  2 Co 2.72
Sn  0.1335  0.2957  0.5005 x8  1 Co 2.70, 1 Sn 2.83

Entry 14:
The following is a GGA-PBE calculation of an optimized crystal structure of Ca2CoSn8, from the Alexandria database.

Total DFT energy (no corrections)   -0.1539 hartree per atom
Formation enthalpy at 0 K   -0.268 eV per atom
Mass density   6.58 g/cm³

abc: 4.6628 4.6628 12.6423
angles: 90.00 90.00 90.00
Closest atoms and distances in Å follow each position.
Space group P4/mmm (No. 123)
Inequivalent atoms, fractional coordinates:
Ca  0.0000  0.0000  0.1961 x2  12 Sn 3.30-3.40
Co  0.0000  0.0000  0.5000 x1  8 Sn 2.76
Sn  0.0000  0.5000  0.0000 x2  8 Sn 3.30-3.38, 4 Ca 3.40
Sn  0.0000  0.5000  0.3830 x4  2 Co 2.76, 1 Sn 2.96
Sn  0.5000  0.5000  0.1933 x2  4 Ca 3.30, 8 Sn 3.34-3.38

Entry 15:
The following is a GGA-PBE calculation of an optimized crystal structure of Ca2Co2Sn, from the Alexandria database.

Total DFT energy (no corrections)   -0.1682 hartree per atom
Formation enthalpy at 0 K   -0.132 eV per atom
Mass density   4.85 g/cm³

abc: 3.8010 4.4043 6.7476
angles: 90.00 106.16 90.00
Closest atoms and distances in Å follow each position.
Space group P2/m (No. 10)
Inequivalent atoms, fractional coordinates:
Ca  0.1374  0.0000  0.2731 x2  6 Co 3.01-3.04
Co  0.2946  0.5000  0.5897 x2  2 Co 2.23
Sn  0.5000  0.5000  0.0000 x1  2 Co 2.66

Entry 16:
The following is a GGA-PBE calculation of an optimized crystal structure of Ca2CoSn, from the Alexandria database.

Total DFT energy (no corrections)   -0.1419 hartree per atom
Formation enthalpy at 0 K   -0.084 eV per atom
Energy relative to the lowest polymorph listed for this composition   0 meV per atom
Mass density   4.30 g/cm³

abc: 7.3583 7.3583 7.3583
angles: 90.00 90.00 90.00
Closest atoms and distances in Å follow each position.
Space group Fm-3m (No. 225)
Inequivalent atoms, fractional coordinates:
Ca  0.2500  0.2500  0.2500 x8  4 Sn 3.19, 4 Co 3.19
Co  0.0000  0.0000  0.0000 x4  8 Ca 3.19
Sn  0.0000  0.0000  0.5000 x4  8 Ca 3.19

Entry 17:
The following is a GGA-PBE calculation of an optimized crystal structure of CaCo2Sn7, from the Alexandria database.

Total DFT energy (no corrections)   -0.1631 hartree per atom
Formation enthalpy at 0 K   -0.015 eV per atom
Mass density   6.19 g/cm³

abc: 8.6290 13.4460 4.5729
angles: 90.00 90.00 90.00
Closest atoms and distances in Å follow each position.
Space group Cmmm (No. 65)
Inequivalent atoms, fractional coordinates:
Ca  0.0000  0.0000  0.0000 x2  10 Sn 3.42-3.44
Co  0.0000  0.3202  0.5000 x4  5 Sn 2.42-2.64
Sn  0.0000  0.2542  0.0000 x4  2 Co 2.45
Sn  0.0000  0.5000  0.5000 x2  2 Co 2.42
Sn  0.2002  0.1410  0.5000 x8  1 Co 2.64

Entry 18:
The following is a GGA-PBE calculation of an optimized crystal structure of CaCoSn, from the Alexandria database.

Total DFT energy (no corrections)   -0.1691 hartree per atom
Formation enthalpy at 0 K   -0.230 eV per atom
Mass density   5.23 g/cm³

abc: 6.5231 6.4208 8.1728
angles: 90.00 126.07 90.00
Closest atoms and distances in Å follow each position.
Space group P2_1/c (No. 14)
Inequivalent atoms, fractional coordinates:
Ca  0.2071  0.1461  0.4162 x4  3 Co 2.87-3.16
Co  0.3681  0.5794  0.3393 x4  1 Co 2.36, 3 Sn 2.48-2.56
Sn  0.2638  0.6492  0.5849 x4  3 Co 2.48-2.56

Entry 19:
The following is a GGA-PBE calculation of an optimized crystal structure of Ca2Co3Sn5, from the Alexandria database.

Total DFT energy (no corrections)   -0.1756 hartree per atom
Formation enthalpy at 0 K   -0.244 eV per atom
Mass density   6.96 g/cm³

abc: 4.3525 26.2403 7.1110
angles: 90.00 90.00 90.00
Closest atoms and distances in Å follow each position.
Space group Cmc2_1 (No. 36)
Inequivalent atoms, fractional coordinates:
Ca  0.0000  0.0243  0.0000 x4  3 Co 2.83-3.06, 2 Sn 3.14
Ca  0.0000  0.3273  0.0169 x4  8 Sn 3.13-3.44, 4 Co 3.21-3.50
Co  0.0000  0.1064  0.7422 x4  6 Sn 2.62-2.91, 1 Ca 2.83
Co  0.0000  0.2769  0.5229 x4  7 Sn 2.64-2.79
Co  0.0000  0.4498  0.7872 x4  5 Sn 2.54-2.76
Sn  0.0000  0.0946  0.3730 x4  3 Co 2.54-2.64
Sn  0.0000  0.2046  0.8102 x4  4 Co 2.62-2.79
Sn  0.0000  0.2116  0.2332 x4  3 Co 2.66-2.68
Sn  0.0000  0.3773  0.5062 x4  4 Co 2.64-2.91
Sn  0.0000  0.4515  0.1701 x4  4 Co 2.70-2.72

Entry 20:
The following is a GGA-PBE calculation of an optimized crystal structure of Ca3Co4Sn13, from the Alexandria database.

Total DFT energy (no corrections)   -0.1695 hartree per atom
Formation enthalpy at 0 K   -0.289 eV per atom
Mass density   7.06 g/cm³

abc: 9.6327 9.6327 9.6327
angles: 90.00 90.00 90.00
Closest atoms and distances in Å follow each position.
Space group Pm-3n (No. 223)
Inequivalent atoms, fractional coordinates:
Ca  0.0000  0.2500  0.5000 x6  12 Sn 3.33-3.44, 4 Co 3.41
Co  0.2500  0.2500  0.2500 x8  6 Sn 2.61
Sn  0.0000  0.0000  0.0000 x2  12 Sn 3.28
Sn  0.0000  0.3010  0.1584 x24  2 Co 2.61